(1)
12
Lattice="-2.9222 -0.4681 1.5318 -1.9011 -4.4183 -4.9767 3.4214 -4.0815 5.2798" Properties=species:S:1:pos:R:3 comment="PBE PrMnMoC3, optimized geometry" formation_energy_ev_per_atom=0.13 sg="P2_1/m, No. 11" pbc="T T T"
Pr -1.0226 -7.1386 1.3050
Pr -0.3793 -1.8293 0.5299
Mn 1.1452 -3.0671 3.0599
Mn -2.5471 -5.9008 -1.2249
Mo -1.5282 -3.5162 -2.1774
Mo 0.1263 -5.4517 4.0124
C -0.7090 -5.6803 -1.2759
C -3.3626 -4.8197 -2.4504
C -2.5282 -3.0191 -0.3083
C -0.6929 -3.2876 3.1108
C 1.1263 -5.9488 2.1433
C 1.9607 -4.1482 4.2853

***

(2)
5
Lattice="-1.9037 1.9915 -2.6780 2.6044 -1.0413 -2.6258 -2.1897 -3.2700 -0.8752" Properties=species:S:1:pos:R:3 comment="PBE Mn2ReMoC, optimized geometry" formation_energy_ev_per_atom=0.08 sg="P4/mmm, No. 123" pbc="T T T"
Re -1.0949 -1.6350 -0.4376
Mo -0.7445 -1.1599 -3.0895
Mn 1.3022 -0.5207 -1.3129
Mn -0.9518 0.9958 -1.3390
C 0.0000 0.0000 0.0000